! SmCu7Ni5, relaxed, DFT PBE; values from VASP
! * N(E_F): 0.71 states/eV per atom
! * formation enthalpy at 0 K: -0.1106 eV per atom
! * SG: No. 44
! * spin magnetization: 0.00 Bohr magnetons per cell
! * calculated density: 8.78 g/cm³
&SYSTEM
  ibrav = 0, nat = 13, ntyp = 3
/
ATOMIC_SPECIES
Sm 150.36 Sm.upf
Cu 63.55 Cu.upf
Ni 58.69 Ni.upf
CELL_PARAMETERS angstrom
-2.4072 4.1779 4.1783
2.4072 -4.1779 4.1783
2.4072 4.1779 -4.1783
ATOMIC_POSITIONS angstrom
Sm 0.0000 0.0000 0.0000
Cu 2.4072 1.8681 0.0294
Cu 2.4072 0.0000 1.9139
Cu 0.0000 0.0000 2.9583
Cu 0.0000 2.9517 0.0426
Cu 0.0000 0.0000 5.4387
Cu 0.0000 5.4040 0.0426
Cu 0.0000 2.3097 4.2077
Ni 1.2024 2.0732 -2.0564
Ni 3.6119 2.0732 -2.0564
Ni -1.2047 2.1047 2.1219
Ni 1.2047 2.1047 2.1219
Ni 0.0000 4.1779 2.3346